{
  "formula": "CaMgZr",
  "functional": "PBE",
  "state": "optimized geometry",
  "polymorph_energy_mev_per_atom": 132,
  "space_group": "Cm, No. 8",
  "lattice_angstrom": [[6.148, -1.741, 0.000], [6.148, 1.741, 0.000], [-2.898, 0.000, 7.644]],
  "species": ["Ca", "Ca", "Mg", "Mg", "Zr", "Zr"],
  "fractional_positions": [[0.000, 0.000, 0.000], [0.668, 0.668, 0.389], [0.334, 0.334, 0.695], [0.335, 0.335, 0.195], [0.678, 0.678, 0.827], [0.991, 0.991, 0.563]]
}